A plane-wave DFT calculation with GGA-PBE was carried out for a relaxed structure of CrSi2Tc.

a b c (Å): 3.0475 4.5898 3.8097
angles (deg): 90.00 90.00 90.00
Last column: nearest neighbours and their distance in Å.
Fractional positions:
Tc (0.5000, 0.0000, 0.5000)  4 Si 2.44
Cr (0.0000, 0.5000, 0.5000)  4 Si 2.44
Si (0.0000, 0.0000, 0.0000)  4 Tc 2.44
Si (0.5000, 0.5000, 0.0000)  4 Cr 2.44

Computed properties:
**DOS(E_F)**: 3.442 states/eV/cell
**Formation energy (no corrections)**: -88 meV/atom
**Size of the total moment**: 0.492 μB per atom